Ni2GeRhO6 GGA+U relaxed; magnetic moment = 4.944 μB per formula unit; density = 5.36 Mg/m³; calculated total energy = -5.36 eV per atom; space group = No. 99
1.0
5.610 0.000 0.000
0.000 5.610 0.000
0.000 0.000 3.825
Ni Ge Rh O
2 1 1 6
Direct
0.000 0.500 0.000
0.500 0.000 0.000
0.000 0.000 0.780
0.500 0.500 0.801
0.000 0.000 0.316
0.242 0.242 0.873
0.242 0.758 0.873
0.500 0.500 0.309
0.758 0.242 0.873
0.758 0.758 0.873